(1)
# ZnBr5 (PBE, relaxed)
# Energy above the lowest structure with this stoichiometry, eV/atom: 0.454
# Fermi-level density of states, states/eV/cell: 7.322
# Uncorrected formation energy, kcal/mol of atoms: 5.4
# Total moment, μB/f.u.: 0.0
# Crystal system: tetragonal
# Electronic total energy, eV/f.u.: -8.23
data_ZnBr5
_symmetry_space_group_name_H-M 'P 4/m m m'
_symmetry_Int_Tables_number 123
_symmetry_space_group_name_Hall '-P 4 2'
_cell_length_a 3.447
_cell_length_b 3.447
_cell_length_c 14.423
_cell_angle_alpha 90.00
_cell_angle_beta 90.00
_cell_angle_gamma 90.00
loop_
_atom_site_label
_atom_site_fract_x
_atom_site_fract_y
_atom_site_fract_z
Zn1 0.000 0.000 0.000
Br1 0.000 0.000 0.364
Br2 0.500 0.500 0.113
Br3 0.500 0.500 0.500

---

(2)
# Zn2Br (PBE, relaxed)
# Energy above the lowest structure with this stoichiometry, eV/atom: 0.109
# Fermi-level density of states, states/eV/cell: 1.150
# Uncorrected formation energy, kcal/mol of atoms: -0.7
# Total moment, μB/f.u.: 0.0
# Crystal system: tetragonal
# Electronic total energy, eV/f.u.: -4.31
data_Zn2Br
_symmetry_space_group_name_H-M 'P 4/m m m'
_symmetry_Int_Tables_number 123
_symmetry_space_group_name_Hall '-P 4 2'
_cell_length_a 3.695
_cell_length_b 3.695
_cell_length_c 4.984
_cell_angle_alpha 90.00
_cell_angle_beta 90.00
_cell_angle_gamma 90.00
loop_
_atom_site_label
_atom_site_fract_x
_atom_site_fract_y
_atom_site_fract_z
Zn1 0.000 0.500 0.000
Br1 0.000 0.000 0.500

---

(3)
# ZnBr5 (PBE, relaxed)
# Energy above the lowest structure with this stoichiometry, eV/atom: 0.000
# Fermi-level density of states, states/eV/cell: 5.619
# Uncorrected formation energy, kcal/mol of atoms: -5.1
# Total moment, μB/f.u.: 0.0
# Crystal system: orthorhombic
# Electronic total energy, eV/f.u.: -10.96
data_ZnBr5
_symmetry_space_group_name_H-M 'A m m 2'
_symmetry_Int_Tables_number 38
_cell_length_a 8.840
_cell_length_b 3.670
_cell_length_c 13.301
_cell_angle_alpha 90.00
_cell_angle_beta 90.00
_cell_angle_gamma 90.00
loop_
_symmetry_equiv_pos_as_xyz
'x,y,z'
'-x,-y,z'
'-x,y,z'
'x,-y,z'
'x,y+1/2,z+1/2'
'-x,-y+1/2,z+1/2'
'-x,y+1/2,z+1/2'
'x,-y+1/2,z+1/2'
loop_
_atom_site_label
_atom_site_fract_x
_atom_site_fract_y
_atom_site_fract_z
Zn1 0.000 0.000 0.000
Br1 0.000 0.000 0.371
Br2 0.000 0.000 0.629
Br3 0.500 0.000 0.118
Br4 0.500 0.000 0.451
Br5 0.500 0.000 0.784

---

(4)
# Zn3Br (PBE, relaxed)
# Energy above the lowest structure with this stoichiometry, eV/atom: 0.031
# Fermi-level density of states, states/eV/cell: 3.682
# Uncorrected formation energy, kcal/mol of atoms: -3.0
# Total moment, μB/f.u.: 0.0
# Crystal system: orthorhombic
# Electronic total energy, eV/f.u.: -6.01
data_Zn3Br
_symmetry_space_group_name_H-M 'C m c m'
_symmetry_Int_Tables_number 63
_symmetry_space_group_name_Hall '-C 2c 2'
_cell_length_a 6.703
_cell_length_b 16.845
_cell_length_c 4.391
_cell_angle_alpha 90.00
_cell_angle_beta 90.00
_cell_angle_gamma 90.00
loop_
_atom_site_label
_atom_site_fract_x
_atom_site_fract_y
_atom_site_fract_z
Zn1 0.000 0.198 0.250
Zn2 0.202 0.206 0.750
Br1 0.000 0.390 0.250

---

(5)
# Zn2Br (PBE, relaxed)
# Energy above the lowest structure with this stoichiometry, eV/atom: 0.009
# Fermi-level density of states, states/eV/cell: 1.377
# Uncorrected formation energy, kcal/mol of atoms: -3.0
# Total moment, μB/f.u.: 0.0
# Crystal system: orthorhombic
# Electronic total energy, eV/f.u.: -4.61
data_Zn2Br
_symmetry_space_group_name_H-M 'I m m a'
_symmetry_Int_Tables_number 74
_symmetry_space_group_name_Hall '-I 2b 2'
_cell_length_a 3.728
_cell_length_b 5.743
_cell_length_c 13.556
_cell_angle_alpha 90.00
_cell_angle_beta 90.00
_cell_angle_gamma 90.00
loop_
_atom_site_label
_atom_site_fract_x
_atom_site_fract_y
_atom_site_fract_z
Zn1 0.000 0.250 0.007
Zn2 0.000 0.250 0.823
Br1 0.000 0.250 0.363

---

(6)
# ZnBr3 (PBE, relaxed)
# Fermi-level density of states, states/eV/cell: 6.260
# Uncorrected formation energy, kcal/mol of atoms: -8.5
# Total moment, μB/f.u.: 1.0
# Crystal system: trigonal
# Electronic total energy, eV/f.u.: -7.78
data_ZnBr3
_symmetry_space_group_name_H-M 'R -3 m'
_symmetry_Int_Tables_number 166
_symmetry_space_group_name_Hall '-R 3 2"'
_cell_length_a 3.6965
_cell_length_b 3.6965
_cell_length_c 35.3438
_cell_angle_alpha 90.00
_cell_angle_beta 90.00
_cell_angle_gamma 120.00
loop_
_atom_site_label
_atom_site_fract_x
_atom_site_fract_y
_atom_site_fract_z
Zn1 0.0000 0.0000 0.0000
Br1 0.0000 0.0000 0.3765
Br2 0.0000 0.0000 0.5000